[1]
! CrHOsS2, relaxed, DFT PBEsol; values from VASP
&SYSTEM
  ibrav = 0, nat = 5, ntyp = 4
/
ATOMIC_SPECIES
Cr 52.00 Cr.upf
S 32.06 S.upf
Os 190.23 Os.upf
H 1.01 H.upf
ATOMIC_POSITIONS crystal
Cr 0.000 0.000 0.000
S 0.000 0.000 0.500
S 0.000 0.500 0.000
Os 0.500 0.500 0.500
H 0.500 0.000 0.000
CELL_PARAMETERS angstrom
-1.166 -2.814 -0.394
2.563 -1.521 3.277
-3.198 0.915 2.925
! raw total energy	-6.432	eV/atom

***

[2]
! K2CuSi4O10, relaxed, DFT PBEsol; values from VASP
&SYSTEM
  ibrav = 0, nat = 68, ntyp = 4
/
ATOMIC_SPECIES
K 39.10 K.upf
Cu 63.55 Cu.upf
Si 28.09 Si.upf
O 16.00 O.upf
ATOMIC_POSITIONS crystal
K 0.750 0.417 0.913
K 0.250 0.058 0.441
K 0.250 0.979 0.044
K 0.750 0.021 0.956
K 0.250 0.583 0.087
K 0.750 0.541 0.530
K 0.750 0.942 0.559
K 0.250 0.459 0.470
Cu 0.505 0.789 0.713
Cu 0.495 0.211 0.287
Cu 0.995 0.789 0.713
Cu 0.005 0.211 0.287
Si 0.065 0.514 0.749
Si 0.556 0.905 0.239
Si 0.559 0.246 0.587
Si 0.435 0.514 0.749
Si 0.441 0.754 0.413
Si 0.057 0.272 0.036
Si 0.443 0.272 0.036
Si 0.943 0.728 0.964
Si 0.935 0.486 0.251
Si 0.059 0.754 0.413
Si 0.056 0.095 0.761
Si 0.565 0.486 0.251
Si 0.941 0.246 0.587
Si 0.557 0.728 0.964
Si 0.944 0.905 0.239
Si 0.444 0.095 0.761
O 0.004 0.782 0.112
O 0.996 0.218 0.888
O 0.546 0.969 0.750
O 0.943 0.387 0.706
O 0.750 0.924 0.226
O 0.465 0.250 0.466
O 0.035 0.250 0.466
O 0.025 0.139 0.639
O 0.496 0.782 0.112
O 0.954 0.969 0.750
O 0.965 0.750 0.534
O 0.988 0.826 0.895
O 0.057 0.613 0.294
O 0.027 0.606 0.671
O 0.473 0.606 0.671
O 0.466 0.585 0.903
O 0.250 0.310 0.040
O 0.527 0.394 0.329
O 0.973 0.394 0.329
O 0.975 0.861 0.361
O 0.750 0.544 0.270
O 0.475 0.139 0.639
O 0.454 0.031 0.250
O 0.557 0.387 0.706
O 0.535 0.750 0.534
O 0.034 0.585 0.903
O 0.012 0.174 0.105
O 0.250 0.076 0.774
O 0.750 0.204 0.563
O 0.534 0.415 0.097
O 0.250 0.456 0.730
O 0.504 0.218 0.888
O 0.046 0.031 0.250
O 0.512 0.826 0.895
O 0.488 0.174 0.105
O 0.750 0.690 0.960
O 0.525 0.861 0.361
O 0.443 0.613 0.294
O 0.966 0.415 0.097
O 0.250 0.796 0.437
CELL_PARAMETERS angstrom
8.265 0.000 0.000
0.000 11.061 -0.006
0.000 -4.051 10.551
! E_form (uncorrected)	-2.413	eV/atom
! raw total energy	-7.241	eV/atom

***

[3]
! LiMo2P3O13, relaxed, DFT PBEsol; values from VASP
&SYSTEM
  ibrav = 0, nat = 38, ntyp = 4
/
ATOMIC_SPECIES
P 30.97 P.upf
Mo 95.94 Mo.upf
O 16.00 O.upf
Li 6.94 Li.upf
ATOMIC_POSITIONS crystal
P 0.541 0.156 0.731
P 0.959 0.269 0.844
P 0.041 0.731 0.156
P 0.750 0.504 0.496
P 0.459 0.844 0.269
P 0.250 0.496 0.504
Mo 0.814 0.335 0.156
Mo 0.314 0.156 0.335
Mo 0.186 0.665 0.844
Mo 0.686 0.844 0.665
O 0.070 0.921 0.262
O 0.568 0.390 0.505
O 0.020 0.686 0.970
O 0.367 0.150 0.595
O 0.867 0.595 0.150
O 0.520 0.970 0.686
O 0.750 0.265 0.735
O 0.744 0.137 0.142
O 0.256 0.863 0.858
O 0.068 0.505 0.390
O 0.813 0.706 0.576
O 0.756 0.858 0.863
O 0.570 0.262 0.921
O 0.313 0.576 0.706
O 0.980 0.314 0.030
O 0.930 0.079 0.738
O 0.932 0.495 0.610
O 0.432 0.610 0.495
O 0.244 0.142 0.137
O 0.480 0.030 0.314
O 0.187 0.294 0.424
O 0.633 0.850 0.405
O 0.430 0.738 0.079
O 0.687 0.424 0.294
O 0.250 0.735 0.265
O 0.133 0.405 0.850
Li 0.500 0.500 0.000
Li 0.000 0.000 0.500
CELL_PARAMETERS angstrom
7.969 -0.050 -0.081
-2.890 8.656 -0.286
-2.890 -4.151 7.601
! energy above the most stable polymorph in this dataset	0.035	eV per atom
! E_form (uncorrected)	-2.068	eV/atom
! raw total energy	-7.917	eV/atom

***

[4]
! Cs2CuF6, relaxed, DFT PBEsol; values from VASP
&SYSTEM
  ibrav = 0, nat = 9, ntyp = 3
/
ATOMIC_SPECIES
Cs 132.91 Cs.upf
Cu 63.55 Cu.upf
F 19.00 F.upf
ATOMIC_POSITIONS crystal
Cs 0.250 0.250 0.250
Cs 0.750 0.750 0.750
Cu 0.000 0.000 0.000
F 0.209 0.791 0.791
F 0.791 0.791 0.209
F 0.209 0.209 0.791
F 0.791 0.209 0.791
F 0.209 0.791 0.209
F 0.791 0.209 0.209
CELL_PARAMETERS angstrom
-1.182 5.376 2.918
-4.081 0.159 4.704
2.003 0.884 5.832
! E_form (uncorrected)	-2.009	eV/atom
! raw total energy	-3.985	eV/atom

***

[5]
! Sr2LiBi, relaxed, DFT PBEsol; values from VASP
&SYSTEM
  ibrav = 0, nat = 8, ntyp = 3
/
ATOMIC_SPECIES
Sr 87.62 Sr.upf
Bi 208.98 Bi.upf
Li 6.94 Li.upf
ATOMIC_POSITIONS crystal
Sr 0.358 0.875 0.250
Sr 0.892 0.375 0.250
Sr 0.125 0.108 0.750
Sr 0.625 0.642 0.750
Bi 0.250 0.750 0.500
Bi 0.000 0.000 0.000
Li 0.750 0.250 0.500
Li 0.500 0.500 0.000
CELL_PARAMETERS angstrom
5.279 0.000 0.000
0.000 5.279 0.000
-2.639 -2.639 11.243
! DFT formation energy	-0.074	eV per atom
! raw total energy	-2.558	eV/atom

***

[6]
! SbTeHI2, relaxed, DFT PBEsol; values from VASP
&SYSTEM
  ibrav = 0, nat = 5, ntyp = 4
/
ATOMIC_SPECIES
I 126.90 I.upf
Sb 121.76 Sb.upf
Te 127.60 Te.upf
H 1.01 H.upf
ATOMIC_POSITIONS crystal
I 0.000 0.000 0.500
I 0.000 0.500 0.000
Sb 0.000 0.000 0.000
Te 0.500 0.000 0.000
H 0.500 0.500 0.500
CELL_PARAMETERS angstrom
5.693 0.000 0.000
0.000 5.965 0.000
0.000 0.000 5.965
! raw total energy	-2.380	eV/atom

***

[7]
! Cu2SiP, relaxed, DFT PBEsol; values from VASP
&SYSTEM
  ibrav = 0, nat = 4, ntyp = 3
/
ATOMIC_SPECIES
Cu 63.55 Cu.upf
P 30.97 P.upf
Si 28.09 Si.upf
ATOMIC_POSITIONS crystal
Cu 0.000 0.000 0.500
Cu 0.000 0.500 0.000
P 0.500 0.500 0.500
Si 0.500 0.000 0.000
CELL_PARAMETERS angstrom
-3.351 0.049 1.491
-1.516 -0.293 -3.398
0.074 -3.721 0.288
! E_form (uncorrected)	0.203	eV/atom
! raw total energy	-4.849	eV/atom

***

[8]
! TaRh3Pb, relaxed, DFT PBEsol; values from VASP
&SYSTEM
  ibrav = 0, nat = 5, ntyp = 3
/
ATOMIC_SPECIES
Pb 207.20 Pb.upf
Rh 102.91 Rh.upf
Ta 180.95 Ta.upf
ATOMIC_POSITIONS crystal
Pb 0.000 0.000 0.000
Rh 0.000 0.500 0.000
Rh 0.000 0.000 0.500
Rh 0.500 0.000 0.000
Ta 0.500 0.500 0.500
CELL_PARAMETERS angstrom
4.756 0.000 0.000
0.000 4.756 0.000
0.000 0.000 4.756
! DFT formation energy	1.848	eV per atom
! energy above the most stable polymorph in this dataset	1.055	eV per atom
! raw total energy	-6.345	eV/atom

***

Per-record M_tot, μB/f.u.: 2.419 1.000 2.000 1.002 0.000 1.335 0.000 1.936